A plane-wave DFT calculation with PBE-GGA was carried out for a relaxed structure of Si2PRu2.

POSCAR file:
```
Si2PRu2
1.0
1.839 1.782 4.603
-3.430 -0.980 3.876
2.113 -3.046 -3.742
Ru Si P
2 2 1
Direct
0.750 0.250 0.500
0.250 0.750 0.500
0.370 0.370 0.000
0.630 0.630 0.000
0.000 0.000 0.000
```

## Properties
N(E_F) = 2.63 states/eV/f.u.
total moment = 0.00 Bohr magnetons per cell
uncorrected formation energy = 0.039 eV per atom
space group = No. 139
final energy = -6.922 eV per atom
distance to the lowest polymorph of the same formula = 289 meV per atom

***

A plane-wave DFT calculation with PBE-GGA was carried out for a relaxed structure of Sc2PbBr.

POSCAR file:
```
Sc2PbBr
1.0
4.237 -0.019 0.014
2.137 3.658 0.014
2.099 1.198 6.525
Br Sc Pb
1 2 1
Direct
0.250 0.250 0.250
0.496 0.496 0.511
0.004 0.004 0.989
0.750 0.750 0.750
```

## Properties
N(E_F) = 2.37 states/eV/f.u.
total moment = 0.00 Bohr magnetons per cell
uncorrected formation energy = -0.558 eV per atom
space group = No. 166
final energy = -5.069 eV per atom
distance to the lowest polymorph of the same formula = 50 meV per atom

***

A plane-wave DFT calculation with PBE-GGA was carried out for a relaxed structure of Pm2DyHfAs4.

POSCAR file:
```
Pm2DyHfAs4
1.0
4.089 0.000 0.000
0.000 7.085 0.133
0.000 -2.466 6.657
As Dy Hf Pm
4 1 1 2
Direct
0.500 0.234 0.229
0.000 0.755 0.235
0.500 0.766 0.771
0.000 0.245 0.765
0.500 0.500 0.000
0.000 0.000 0.000
0.500 0.000 0.500
0.000 0.500 0.500
```

## Properties
N(E_F) = 1.42 states/eV/f.u.
total moment = 0.00 Bohr magnetons per cell
formation enthalpy at 0 K = -1393 meV per atom
space group = No. 10
final energy = -6.725 eV per atom